BeTeAs3 | SCAN | PBEsol geometry

Calculated values
N(E_F)	0.63	states/eV/atom
magnetization	0.00	μB per cell
energy	-1.464	Ry per atom

CIF file:
```
data_BeTeAs3
_space_group_name_H-M_alt 'P m -3 m'
_space_group_IT_number 221
_space_group_name_Hall '-P 4 2 3'
_cell_length_a 4.5519
_cell_length_b 4.5519
_cell_length_c 4.5519
_cell_angle_alpha 90.00
_cell_angle_beta 90.00
_cell_angle_gamma 90.00
loop_
_atom_site_label
_atom_site_type_symbol
_atom_site_fract_x
_atom_site_fract_y
_atom_site_fract_z
_atom_site_occupancy
Be1 Be 0.0000 0.0000 0.0000 1
Te1 Te 0.5000 0.5000 0.5000 1
As1 As 0.0000 0.0000 0.5000 1
```